The following is a DFT calculation (PBE-GGA) of an optimized crystal structure of TlAs2Br.

Output
excess energy over the best structure of this formula in the dataset	0.545	eV/atom
D(E_F)	0.68	states/eV/atom
formation energy (no corrections)	278	meV per atom
size of the total moment	0.0	μB/f.u.

Cell: 6.5678 6.5678 6.5678 Å, 149.47 135.87 54.61°
Fractional coordinates of all 4 atoms:
Tl: 0.0000 0.0000 0.0000
As: 0.2235 0.7235 0.5000
As: 0.7765 0.2765 0.5000
Br: 0.5000 0.5000 0.0000

***

The following is a DFT calculation (PBE-GGA) of an optimized crystal structure of TlAsBr3.

Output
excess energy over the best structure of this formula in the dataset	0.010	eV/atom
D(E_F)	0.00	states/eV/atom
formation energy (no corrections)	-535	meV per atom
size of the total moment	0.0	μB/f.u.

Cell: 9.2072 8.8745 9.1515 Å, 90.00 96.03 90.00°
Fractional coordinates of all 20 atoms:
Tl: 0.0476 0.0137 0.2549
Tl: 0.0476 0.4863 0.7549
Tl: 0.9524 0.5137 0.2451
Tl: 0.9524 0.9863 0.7451
As: 0.4829 0.6318 0.5486
As: 0.4829 0.8682 0.0486
As: 0.5171 0.1318 0.9514
As: 0.5171 0.3682 0.4514
Br: 0.1048 0.7442 0.0127
Br: 0.1048 0.7558 0.5127
Br: 0.2578 0.1812 0.9443
Br: 0.2578 0.3188 0.4443
Br: 0.4683 0.5367 0.7917
Br: 0.4683 0.9633 0.2917
Br: 0.5317 0.0367 0.7083
Br: 0.5317 0.4633 0.2083
Br: 0.7422 0.6812 0.5557
Br: 0.7422 0.8188 0.0557
Br: 0.8952 0.2442 0.4873
Br: 0.8952 0.2558 0.9873

***

The following is a DFT calculation (PBE-GGA) of an optimized crystal structure of TlAs2Br.

Output
excess energy over the best structure of this formula in the dataset	0.000	eV/atom
D(E_F)	0.01	states/eV/atom
formation energy (no corrections)	-267	meV per atom
size of the total moment	0.0	μB/f.u.

Cell: 10.3914 10.3914 10.3914 Å, 21.07 21.07 21.07°
Fractional coordinates of all 4 atoms:
Tl: 0.0000 0.0000 0.0000
As: 0.2204 0.2204 0.2204
As: 0.5096 0.5096 0.5096
Br: 0.7326 0.7326 0.7326

***

The following is a DFT calculation (PBE-GGA) of an optimized crystal structure of TlAs2Br.

Output
excess energy over the best structure of this formula in the dataset	0.493	eV/atom
D(E_F)	0.99	states/eV/atom
formation energy (no corrections)	225	meV per atom
size of the total moment	0.0	μB/f.u.

Cell: 4.0707 4.0707 7.4794 Å, 90.00 90.00 90.00°
Fractional coordinates of all 4 atoms:
Tl: 0.0000 0.0000 0.0000
As: 0.0000 0.5000 0.5000
As: 0.5000 0.0000 0.5000
Br: 0.5000 0.5000 0.0000